## AcPrS2 (PBE)

Data for a geometry-optimized AcPrS2 structure.

Cell: 4.1756 4.1756 14.0121 Å, 90.00 90.00 120.00°
Last column: nearest neighbours and their distance in Å.
Element x y z (fractional)
Ac (0.3333, 0.6667, 0.2500)  6 S 3.04
Ac (0.6667, 0.3333, 0.7500)  6 S 3.04
Pr (0.0000, 0.0000, 0.0000)  6 S 2.92
Pr (0.0000, 0.0000, 0.5000)  6 S 2.92
S (0.3333, 0.6667, 0.6178)  3 Pr 2.92, 3 Ac 3.04
S (0.3333, 0.6667, 0.8822)  3 Pr 2.92, 3 Ac 3.04
S (0.6667, 0.3333, 0.1178)  3 Pr 2.92, 3 Ac 3.04
S (0.6667, 0.3333, 0.3822)  3 Pr 2.92, 3 Ac 3.04

Calculated values
The calculation puts the density of states at the Fermi level at 3.1 states/eV/cell. The calculation puts the distance to the lowest polymorph of the same formula at 23 meV per atom. The uncorrected formation energy comes out at -1.9901 eV/atom. Its energy is -6.2759 eV per atom.